Th4HCN2: optimized geometry, PBE-GGA.

Its density of states at the Fermi level is 0.629 states/eV per atom. The space group is No. 10. The calculation puts the energy at -66.243 eV per cell.

Cell and atoms, written as POSCAR:
```
Th4HCN2
1.0
3.713 0.000 0.000
0.000 6.353 -0.200
0.000 2.167 5.956
Th H N C
4 1 2 1
Direct
0.000 0.767 0.737
0.000 0.233 0.263
0.500 0.752 0.250
0.500 0.248 0.750
0.500 0.500 0.000
0.500 0.000 0.500
0.000 0.000 0.000
0.000 0.500 0.500
```

=====

Th6HC2N3: optimized geometry, PBE-GGA.

Its density of states at the Fermi level is 0.521 states/eV per atom. The space group is No. 12. The calculation puts the energy at -102.599 eV per cell.

Cell and atoms, written as POSCAR:
```
Th6HC2N3
1.0
-3.998 -4.976 0.702
4.505 -0.134 -4.575
3.686 -0.828 5.180
Th H N C
6 1 3 2
Direct
0.258 0.258 0.737
0.916 0.572 0.745
0.084 0.428 0.255
0.742 0.742 0.263
0.428 0.084 0.255
0.572 0.916 0.745
0.000 0.000 0.000
0.825 0.175 0.500
0.500 0.500 0.500
0.175 0.825 0.500
0.335 0.665 0.000
0.665 0.335 0.000
```

=====

Th8HC3N3: optimized geometry, PBE-GGA.

Its density of states at the Fermi level is 1.177 states/eV per atom. The space group is No. 166. The calculation puts the energy at -125.970 eV per cell.

Cell and atoms, written as POSCAR:
```
Th8HC3N3
1.0
7.438 0.000 0.000
-3.719 6.437 -0.022
0.001 -4.270 6.016
Th N C H
8 3 3 1
Direct
0.251 0.502 0.749
0.252 0.998 0.750
0.251 0.503 0.254
0.749 0.498 0.251
0.747 0.998 0.750
0.748 0.002 0.250
0.253 0.002 0.250
0.749 0.497 0.746
0.000 0.500 0.500
0.500 0.500 0.500
0.500 0.000 0.500
0.000 0.000 0.000
0.000 0.500 0.000
0.500 0.500 0.000
0.000 0.000 0.500
```

=====

Th6HC3N2: optimized geometry, PBE-GGA.

Its density of states at the Fermi level is 0.420 states/eV per atom. The space group is No. 12. The calculation puts the energy at -101.458 eV per cell.

Cell and atoms, written as POSCAR:
```
Th6HC3N2
1.0
6.469 0.002 0.001
-3.232 5.604 0.001
-1.080 -1.870 6.026
N C Th H
2 3 6 1
Direct
0.335 0.665 0.000
0.665 0.335 0.000
0.500 0.500 0.500
0.171 0.829 0.500
0.829 0.171 0.500
0.083 0.427 0.252
0.917 0.573 0.748
0.427 0.083 0.252
0.573 0.917 0.748
0.259 0.259 0.743
0.741 0.741 0.257
0.000 0.000 0.000
```

=====

Ti4H2CN: optimized geometry, PBE-GGA.

Its density of states at the Fermi level is 0.621 states/eV per atom. The space group is No. 10. The calculation puts the energy at -63.191 eV per cell.

Cell and atoms, written as POSCAR:
```
Ti4H2CN
1.0
3.063 0.000 0.000
0.000 5.119 -0.054
0.000 1.848 4.956
C Ti N H
1 4 1 2
Direct
0.500 0.500 0.000
0.500 0.733 0.258
0.000 0.266 0.247
0.500 0.267 0.742
0.000 0.734 0.753
0.000 0.500 0.500
0.000 0.000 0.000
0.500 0.000 0.500
```

=====

Ti3HCN: optimized geometry, PBE-GGA.

Its density of states at the Fermi level is 0.339 states/eV per atom. The space group is No. 11. The calculation puts the energy at -100.569 eV per cell.

Cell and atoms, written as POSCAR:
```
Ti3HCN
1.0
2.972 0.000 0.000
0.000 6.061 0.058
0.000 -1.546 6.482
Ti C N H
6 2 2 2
Direct
0.750 0.415 0.154
0.250 0.585 0.846
0.250 0.746 0.494
0.750 0.254 0.506
0.750 0.906 0.140
0.250 0.094 0.860
0.750 0.821 0.786
0.250 0.179 0.214
0.750 0.336 0.832
0.250 0.664 0.168
0.750 0.920 0.424
0.250 0.080 0.576
```

=====

Ti6H2CN3: optimized geometry, PBE-GGA.

Its density of states at the Fermi level is 0.426 states/eV per atom. The space group is No. 12. The calculation puts the energy at -102.789 eV per cell.

Cell and atoms, written as POSCAR:
```
Ti6H2CN3
1.0
3.021 0.000 0.000
0.000 6.026 0.188
-1.511 -1.764 6.322
Ti N C H
6 3 1 2
Direct
0.333 0.931 0.666
0.664 0.591 0.327
0.995 0.245 0.990
0.667 0.069 0.334
0.336 0.409 0.673
0.005 0.755 0.010
0.500 0.500 0.000
0.833 0.169 0.667
0.167 0.831 0.333
0.500 0.000 0.000
0.831 0.663 0.662
0.169 0.337 0.338
```

=====

Ti8HC3N4: optimized geometry, PBE-GGA.

Its density of states at the Fermi level is 0.314 states/eV per atom. The space group is No. 166. The calculation puts the energy at -147.834 eV per cell.

Cell and atoms, written as POSCAR:
```
Ti8HC3N4
1.0
-1.066 -4.673 -3.695
5.724 -1.887 0.734
-3.524 0.898 4.838
Ti C N H
8 3 4 1
Direct
0.258 0.758 0.516
0.742 0.242 0.484
0.258 0.242 0.000
0.252 0.255 0.504
0.742 0.242 0.000
0.258 0.758 0.000
0.742 0.758 0.000
0.748 0.745 0.496
0.000 0.500 0.500
0.500 0.500 0.500
0.500 0.500 0.000
0.000 0.000 0.000
0.500 0.000 0.500
0.000 0.000 0.500
0.500 0.000 0.000
0.000 0.500 0.000
```

=====

Ti8H4C3N: optimized geometry, PBE-GGA.

Its density of states at the Fermi level is 0.742 states/eV per atom. The space group is No. 12. The calculation puts the energy at -125.398 eV per cell.

Cell and atoms, written as POSCAR:
```
Ti8H4C3N
1.0
6.137 0.000 0.000
0.000 5.900 -0.102
-3.068 -3.016 4.427
H C Ti N
4 3 8 1
Direct
0.500 0.000 0.500
0.000 0.000 0.000
0.500 0.000 0.000
0.000 0.000 0.500
0.500 0.500 0.000
0.000 0.500 0.500
0.500 0.500 0.500
0.741 0.733 0.482
0.259 0.267 0.518
0.761 0.269 0.522
0.239 0.731 0.478
0.239 0.731 0.982
0.761 0.269 0.018
0.743 0.731 0.982
0.257 0.269 0.018
0.000 0.500 0.000
```

=====

Ti6HC3N2: optimized geometry, PBE-GGA.

Its density of states at the Fermi level is 0.279 states/eV per atom. The space group is No. 12. The calculation puts the energy at -108.650 eV per cell.

Cell and atoms, written as POSCAR:
```
Ti6HC3N2
1.0
-1.234 -2.699 0.690
4.889 -1.382 3.340
-3.386 4.291 4.001
H Ti C N
1 6 3 2
Direct
0.500 0.000 0.000
0.327 0.911 0.654
0.667 0.585 0.335
0.999 0.734 0.998
0.673 0.089 0.346
0.001 0.266 0.002
0.333 0.415 0.665
0.834 0.164 0.669
0.500 0.500 0.000
0.166 0.836 0.331
0.834 0.669 0.668
0.166 0.331 0.332
```